Computed, not measured: Ba4PI2Cl after structural relaxation at the PBE level of DFT.

Geometry as CIF:
```
data_Ba4PI2Cl
_chemical_formula_sum 'Ba4 P1 I2 Cl1'
_space_group_name_H-M_alt 'P 1 2/m 1'
_space_group_IT_number 10
_cell_length_a 8.117
_cell_length_b 4.715
_cell_length_c 8.678
_cell_angle_alpha 90.00
_cell_angle_beta 108.28
_cell_angle_gamma 90.00
loop_
_space_group_symop_operation_xyz
'x,y,z'
'-x,-y,-z'
'-x,y,-z'
'x,-y,z'
loop_
_atom_site_label
_atom_site_fract_x
_atom_site_fract_y
_atom_site_fract_z
Ba1 0.224 0.000 0.207
Ba2 0.247 0.500 0.786
P1 0.000 0.500 0.000
I1 0.000 0.000 0.500
I2 0.500 0.500 0.500
Cl1 0.500 0.000 0.000
```

Spin magnetization = 0.00 μB/cell
Raw formation energy = -1.50 eV per atom

Computed, not measured: Ba8Pb3I4Cl after structural relaxation at the PBE level of DFT.

Geometry as CIF:
```
data_Ba8Pb3I4Cl
_chemical_formula_sum 'Ba16 Pb6 I8 Cl2'
_space_group_name_H-M_alt 'C 1 2/m 1'
_space_group_IT_number 12
_cell_length_a 17.407
_cell_length_b 10.033
_cell_length_c 10.355
_cell_angle_alpha 90.00
_cell_angle_beta 124.11
_cell_angle_gamma 90.00
loop_
_space_group_symop_operation_xyz
'x,y,z'
'-x,-y,-z'
'-x,y,-z'
'x,-y,z'
'x+1/2,y+1/2,z'
'-x+1/2,-y+1/2,-z'
'-x+1/2,y+1/2,-z'
'x+1/2,-y+1/2,z'
loop_
_atom_site_label
_atom_site_fract_x
_atom_site_fract_y
_atom_site_fract_z
Ba1 0.011 0.247 0.280
Ba2 0.243 0.000 0.730
Ba3 0.243 0.500 0.721
Pb1 0.000 0.000 0.500
Pb2 0.250 0.250 0.500
I1 0.000 0.000 0.000
I2 0.000 0.500 0.000
I3 0.250 0.250 0.000
Cl1 0.000 0.500 0.500
```

Spin magnetization = 0.00 μB/cell
Raw formation energy = -1.17 eV per atom

Computed, not measured: Ba4PbICl2 after structural relaxation at the PBE level of DFT.

Geometry as CIF:
```
data_Ba4PbICl2
_chemical_formula_sum 'Ba4 Pb1 I1 Cl2'
_space_group_name_H-M_alt 'P 1 2/m 1'
_space_group_IT_number 10
_cell_length_a 8.095
_cell_length_b 5.005
_cell_length_c 8.563
_cell_angle_alpha 90.00
_cell_angle_beta 110.57
_cell_angle_gamma 90.00
loop_
_space_group_symop_operation_xyz
'x,y,z'
'-x,-y,-z'
'-x,y,-z'
'x,-y,z'
loop_
_atom_site_label
_atom_site_fract_x
_atom_site_fract_y
_atom_site_fract_z
Ba1 0.235 0.000 0.231
Ba2 0.244 0.500 0.763
Pb1 0.500 0.000 0.000
I1 0.500 0.500 0.500
Cl1 0.000 0.000 0.500
Cl2 0.000 0.500 0.000
```

Spin magnetization = 0.00 μB/cell
Raw formation energy = -1.41 eV per atom

Computed, not measured: Ba8Pd3I4Cl after structural relaxation at the PBE level of DFT.

Geometry as CIF:
```
data_Ba8Pd3I4Cl
_chemical_formula_sum 'Ba24 Pd9 I12 Cl3'
_space_group_name_H-M_alt 'R -3 m'
_space_group_IT_number 166
_space_group_name_Hall '-R 3 2"'
_cell_length_a 9.3829
_cell_length_b 9.3829
_cell_length_c 26.1746
_cell_angle_alpha 90.00
_cell_angle_beta 90.00
_cell_angle_gamma 120.00
loop_
_atom_site_label
_atom_site_fract_x
_atom_site_fract_y
_atom_site_fract_z
Ba1 0.0000 0.0000 0.2345
Ba2 0.0124 0.5062 0.7651
Pd1 0.0000 0.5000 0.5000
I1 0.0000 0.0000 0.0000
I2 0.0000 0.5000 0.0000
Cl1 0.0000 0.0000 0.5000
```

Spin magnetization = 0.00 μB/cell
Raw formation energy = -1.13 eV per atom